Density functional theory data (PBE) for crystalline TaAlPb2 at its relaxed geometry.

symmetry = I-42d
calculated total energy = -36.9 eV for the cell shown
formation energy from the elements = 1.145 eV/atom

a = 6.4628 Å, b = 6.4628 Å, c = 7.8634 Å
α = 65.74°, β = 65.74°, γ = 90.00°
Atoms (fractional coordinates):
1 Pb 0.1218 0.6250 0.2500
2 Ta 0.7500 0.2500 0.5000
3 Al 0.5000 0.5000 0.0000
4 Ta 0.0000 0.0000 0.0000
5 Pb 0.6282 0.1250 0.2500
6 Pb 0.8750 0.8782 0.7500
7 Pb 0.3750 0.3718 0.7500
8 Al 0.2500 0.7500 0.5000